DFT (PBE with a Hubbard U) results for a relaxed CoNiRhO4 crystal.

Summary:
total energy	-80.84	eV for the cell shown
volume	154.0	Å³ per cell
density of states at the Fermi level	2.4	states/eV/f.u.

abc: 5.956 5.956 5.956
angles: 121.57 112.87 95.04
Atoms (fractional coordinates):
Co (0.500, 0.000, 0.000)
Co (0.500, 0.500, 0.500)
Ni (0.000, 0.000, 0.000)
Ni (0.500, 0.000, 0.500)
Rh (0.024, 0.274, 0.750)
Rh (0.976, 0.726, 0.250)
O (0.183, 0.154, 0.472)
O (0.183, 0.711, 0.028)
O (0.302, 0.245, 0.057)
O (0.312, 0.755, 0.557)
O (0.688, 0.245, 0.443)
O (0.698, 0.755, 0.943)
O (0.817, 0.289, 0.972)
O (0.817, 0.846, 0.528)